VASP calculation (GGA-PBE) on TmTlCd17 after structural relaxation.

## Properties
V, Å³/f.u.: 450.9
ΔE_f, eV per atom: -0.02
Space-group type: R3m, No. 160

abc: 7.742 7.742 7.742
angles: 81.75 81.75 81.75
Element x y z (fractional)
1 Tm 0.325 0.325 0.325
2 Cd 0.344 0.886 0.344
3 Cd 0.302 0.002 0.696
4 Cd 0.696 0.002 0.302
5 Cd 0.912 0.912 0.912
6 Cd 0.977 0.977 0.527
7 Cd 0.696 0.302 0.002
8 Cd 0.105 0.105 0.105
9 Cd 0.302 0.696 0.002
10 Cd 0.977 0.527 0.977
11 Cd 0.217 0.614 0.614
12 Cd 0.527 0.977 0.977
13 Cd 0.886 0.344 0.344
14 Cd 0.614 0.217 0.614
15 Cd 0.614 0.614 0.217
16 Cd 0.002 0.696 0.302
17 Cd 0.344 0.344 0.886
18 Cd 0.002 0.302 0.696
19 Tl 0.654 0.654 0.654


VASP calculation (GGA-PBE) on Tm4Tl2Cd after structural relaxation.

## Properties
V, Å³/f.u.: 198.4
ΔE_f, eV per atom: -0.11
Space-group type: P2_1/m, No. 11

abc: 7.209 6.615 9.198
angles: 90.00 115.25 90.00
Element x y z (fractional)
1 Tm 0.436 0.994 0.775
2 Tm 0.564 0.006 0.225
3 Tm 0.436 0.506 0.775
4 Tm 0.028 0.750 0.453
5 Tm 0.036 0.750 0.843
6 Tm 0.972 0.250 0.547
7 Tm 0.564 0.494 0.225
8 Tm 0.964 0.250 0.157
9 Cd 0.785 0.250 0.786
10 Cd 0.215 0.750 0.214
11 Tl 0.224 0.250 0.942
12 Tl 0.616 0.750 0.545
13 Tl 0.384 0.250 0.455
14 Tl 0.776 0.750 0.058


VASP calculation (GGA-PBE) on Tm4Tl2Cd3 after structural relaxation.

## Properties
V, Å³/f.u.: 231.8
ΔE_f, eV per atom: -0.25
Space-group type: C2/m, No. 12

abc: 5.127 5.127 10.179
angles: 90.05 90.05 60.04
Element x y z (fractional)
1 Tm 0.667 0.667 0.120
2 Tm 0.000 0.000 0.329
3 Tm 0.333 0.333 0.880
4 Tm 0.000 0.000 0.671
5 Cd 0.333 0.333 0.532
6 Cd 0.000 0.000 0.000
7 Cd 0.667 0.667 0.468
8 Tl 0.333 0.333 0.204
9 Tl 0.667 0.667 0.796


VASP calculation (GGA-PBE) on Tm2TlCd3 after structural relaxation.

## Properties
V, Å³/f.u.: 146.8
ΔE_f, eV per atom: -0.26
Space-group type: Fmmm, No. 69

abc: 6.060 6.060 9.938
angles: 114.60 114.60 68.59
Element x y z (fractional)
1 Tm 0.250 0.750 0.500
2 Tm 0.750 0.250 0.000
3 Tm 0.250 0.750 0.000
4 Tm 0.750 0.250 0.500
5 Cd 0.836 0.836 0.164
6 Cd 0.836 0.836 0.672
7 Cd 0.164 0.164 0.836
8 Cd 0.672 0.672 0.836
9 Cd 0.164 0.164 0.328
10 Cd 0.328 0.328 0.164
11 Tl 0.334 0.334 0.667
12 Tl 0.666 0.666 0.333


VASP calculation (GGA-PBE) on Tm6Tl3Cd after structural relaxation.

## Properties
V, Å³/f.u.: 270.4
ΔE_f, eV per atom: -0.22
Space-group type: P2_1/m, No. 11

abc: 5.289 9.306 11.541
angles: 107.85 90.00 90.00
Element x y z (fractional)
1 Tm 0.750 0.156 0.691
2 Tm 0.250 0.134 0.175
3 Tm 0.750 0.341 0.321
4 Tm 0.250 0.099 0.880
5 Tm 0.750 0.866 0.825
6 Tm 0.250 0.659 0.679
7 Tm 0.250 0.844 0.309
8 Tm 0.250 0.459 0.092
9 Tm 0.250 0.239 0.498
10 Tm 0.750 0.901 0.120
11 Tm 0.750 0.541 0.908
12 Tm 0.750 0.761 0.502
13 Tl 0.750 0.218 0.029
14 Tl 0.750 0.627 0.213
15 Tl 0.750 0.471 0.611
16 Tl 0.250 0.529 0.389
17 Tl 0.250 0.373 0.787
18 Tl 0.250 0.782 0.971
19 Cd 0.250 0.952 0.605
20 Cd 0.750 0.048 0.395


VASP calculation (GGA-PBE) on Tm3TlCd2 after structural relaxation.

## Properties
V, Å³/f.u.: 153.6
ΔE_f, eV per atom: -0.31
Space-group type: P4/mmm, No. 123

abc: 3.729 3.729 11.051
angles: 90.00 90.00 90.00
Element x y z (fractional)
1 Cd 0.500 0.500 0.161
2 Cd 0.500 0.500 0.839
3 Tm 0.000 0.000 0.672
4 Tm 0.000 0.000 0.328
5 Tm 0.000 0.000 0.000
6 Tl 0.500 0.500 0.500


VASP calculation (GGA-PBE) on Tm2TlCd4 after structural relaxation.

## Properties
V, Å³/f.u.: 197.0
ΔE_f, eV per atom: 0.09
Space-group type: I4/mmm, No. 139

abc: 5.741 5.741 7.226
angles: 113.40 113.40 90.00
Element x y z (fractional)
1 Tm 0.357 0.357 0.713
2 Tm 0.643 0.643 0.287
3 Cd 0.500 0.000 0.000
4 Cd 0.250 0.750 0.500
5 Cd 0.750 0.250 0.500
6 Cd 0.000 0.500 0.000
7 Tl 0.000 0.000 0.000


VASP calculation (GGA-PBE) on Tm6Tl3Cd after structural relaxation.

## Properties
V, Å³/f.u.: 348.2
ΔE_f, eV per atom: 0.35
Space-group type: Fm-3m, No. 225

abc: 7.897 7.897 7.897
angles: 60.00 60.00 60.00
Element x y z (fractional)
1 Tm 0.753 0.247 0.247
2 Tm 0.247 0.247 0.753
3 Tm 0.247 0.753 0.247
4 Tm 0.753 0.753 0.247
5 Tm 0.247 0.753 0.753
6 Tm 0.753 0.247 0.753
7 Cd 0.000 0.000 0.000
8 Tl 0.500 0.500 0.500
9 Tl 0.250 0.250 0.250
10 Tl 0.750 0.750 0.750


VASP calculation (GGA-PBE) on Tm3Tl3Cd2 after structural relaxation.

## Properties
V, Å³/f.u.: 209.5
ΔE_f, eV per atom: -0.14
Space-group type: P6_3/mcm, No. 193

abc: 6.055 8.939 8.939
angles: 120.00 90.00 90.00
Element x y z (fractional)
1 Tm 0.250 0.000 0.760
2 Tm 0.750 0.760 0.760
3 Tm 0.250 0.240 0.240
4 Tm 0.750 0.240 0.000
5 Tm 0.250 0.760 0.000
6 Tm 0.750 0.000 0.240
7 Cd 0.500 0.333 0.667
8 Cd 0.500 0.667 0.333
9 Cd 0.000 0.667 0.333
10 Cd 0.000 0.333 0.667
11 Tl 0.250 0.606 0.606
12 Tl 0.250 0.000 0.394
13 Tl 0.750 0.606 0.000
14 Tl 0.750 0.394 0.394
15 Tl 0.250 0.394 0.000
16 Tl 0.750 0.000 0.606


VASP calculation (GGA-PBE) on Tm7Tl2Cd2 after structural relaxation.

## Properties
V, Å³/f.u.: 331.8
ΔE_f, eV per atom: 0.05
Space-group type: Cmmm, No. 65

abc: 6.741 7.775 6.741
angles: 90.00 110.10 90.00
Element x y z (fractional)
1 Tm 0.000 0.000 0.000
2 Tm 0.500 0.273 0.500
3 Tm 0.500 0.727 0.500
4 Tm 0.000 0.710 0.500
5 Tm 0.500 0.710 0.000
6 Tm 0.000 0.290 0.500
7 Tm 0.500 0.290 0.000
8 Tl 0.298 0.000 0.702
9 Tl 0.702 0.000 0.298
10 Cd 0.823 0.500 0.823
11 Cd 0.177 0.500 0.177


VASP calculation (GGA-PBE) on Tm8TlCd2 after structural relaxation.

## Properties
V, Å³/f.u.: 318.1
ΔE_f, eV per atom: -0.02
Space-group type: C2/m, No. 12

abc: 5.431 8.462 8.462
angles: 117.79 101.35 101.35
Element x y z (fractional)
1 Tl 0.500 0.000 0.000
2 Tm 0.500 0.220 0.780
3 Tm 0.303 0.603 0.603
4 Tm 0.115 0.096 0.328
5 Tm 0.115 0.328 0.096
6 Tm 0.885 0.904 0.672
7 Tm 0.885 0.672 0.904
8 Tm 0.500 0.780 0.220
9 Tm 0.697 0.397 0.397
10 Cd 0.000 0.695 0.305
11 Cd 0.000 0.305 0.695


VASP calculation (GGA-PBE) on Tm4Tl2Cd after structural relaxation.

## Properties
V, Å³/f.u.: 196.9
ΔE_f, eV per atom: -0.18
Space-group type: R-3m, No. 166

abc: 5.192 5.192 8.950
angles: 73.14 73.14 60.00
Element x y z (fractional)
1 Tm 0.127 0.127 0.618
2 Tm 0.379 0.379 0.863
3 Tm 0.873 0.873 0.382
4 Tm 0.621 0.621 0.137
5 Cd 0.000 0.000 0.000
6 Tl 0.249 0.249 0.252
7 Tl 0.751 0.751 0.748